Record 1
A PBEsol-optimized structure of Mg2OsRu, computed with SCAN.

a = 2.681 Å, b = 4.215 Å, c = 5.358 Å
α = 90.00°, β = 90.00°, γ = 90.00°
Fractional coordinates of all 4 atoms:
Mg (0.000, 0.000, 0.250)
Mg (0.000, 0.000, 0.750)
Os (0.500, 0.500, 0.000)
Ru (0.500, 0.500, 0.500)

Computed properties:
- ΔE to the lowest computed polymorph (meV/atom) = 221
- energy relative to the elements (eV/atom) = 0.20
- space-group type = Pmmm (47)


Record 2
A PBEsol-optimized structure of Ca2Ag2P, computed with SCAN.

a = 8.694 Å, b = 8.694 Å, c = 8.694 Å
α = 155.36°, β = 155.36°, γ = 35.12°
Fractional coordinates of all 5 atoms:
Ca (0.091, 0.091, 0.000)
Ca (0.909, 0.909, 0.000)
Ag (0.250, 0.750, 0.500)
Ag (0.750, 0.250, 0.500)
P (0.500, 0.500, 0.000)

Computed properties:
- energy relative to the elements (eV/atom) = -0.50
- space-group type = I4/mmm (139)


Record 3
A PBEsol-optimized structure of NaMg2PdCl, computed with SCAN.

a = 4.881 Å, b = 4.881 Å, c = 4.693 Å
α = 90.00°, β = 90.00°, γ = 90.00°
Fractional coordinates of all 5 atoms:
Na (0.000, 0.000, 0.000)
Mg (0.000, 0.500, 0.500)
Mg (0.500, 0.000, 0.500)
Pd (0.500, 0.500, 0.000)
Cl (0.000, 0.000, 0.500)

Computed properties:
- space-group type = P4/mmm (123)
- raw formation energy (kJ per mole of atoms) = -14


Record 4
A PBEsol-optimized structure of Sr2WBr, computed with SCAN.

a = 6.663 Å, b = 6.663 Å, c = 6.663 Å
α = 151.80°, β = 131.28°, γ = 57.25°
Fractional coordinates of all 4 atoms:
Sr (0.000, 0.000, 0.000)
Sr (0.692, 0.192, 0.500)
W (0.255, 0.755, 0.500)
Br (0.441, 0.441, 0.000)

Computed properties:
- space-group type = Imm2 (44)
- raw formation energy (kJ per mole of atoms) = 52


Record 5
A PBEsol-optimized structure of CaAl2Re, computed with SCAN.

a = 3.239 Å, b = 3.239 Å, c = 6.930 Å
α = 90.00°, β = 90.00°, γ = 90.00°
Fractional coordinates of all 4 atoms:
Ca (0.000, 0.000, 0.000)
Al (0.500, 0.500, 0.313)
Al (0.500, 0.500, 0.687)
Re (0.000, 0.000, 0.500)

Computed properties:
- ΔE to the lowest computed polymorph (meV/atom) = 0
- energy relative to the elements (eV/atom) = -0.16
- space-group type = P4/mmm (123)


Record 6
A PBEsol-optimized structure of Cd7Pb6, computed with SCAN.

a = 11.604 Å, b = 11.604 Å, c = 11.604 Å
α = 29.11°, β = 29.11°, γ = 29.11°
Fractional coordinates of all 13 atoms:
Cd (0.000, 0.000, 0.000)
Cd (0.092, 0.092, 0.589)
Cd (0.092, 0.589, 0.092)
Cd (0.411, 0.908, 0.908)
Cd (0.589, 0.092, 0.092)
Cd (0.908, 0.411, 0.908)
Cd (0.908, 0.908, 0.411)
Pb (0.166, 0.166, 0.166)
Pb (0.347, 0.347, 0.347)
Pb (0.451, 0.451, 0.451)
Pb (0.549, 0.549, 0.549)
Pb (0.653, 0.653, 0.653)
Pb (0.834, 0.834, 0.834)

Computed properties:
- energy relative to the elements (eV/atom) = 0.03
- space-group type = R-3m (166)


Record 7
A PBEsol-optimized structure of TiP2SeCl, computed with SCAN.

a = 4.690 Å, b = 4.690 Å, c = 4.686 Å
α = 90.00°, β = 90.00°, γ = 90.00°
Fractional coordinates of all 5 atoms:
Ti (0.000, 0.000, 0.000)
P (0.000, 0.500, 0.500)
P (0.500, 0.000, 0.500)
Se (0.500, 0.500, 0.500)
Cl (0.500, 0.500, 0.000)

Computed properties:
- space-group type = P4/mmm (123)
- raw formation energy (kJ per mole of atoms) = 71


Record 8
A PBEsol-optimized structure of TlTeP2, computed with SCAN.

a = 5.547 Å, b = 5.547 Å, c = 2.938 Å
α = 90.38°, β = 90.38°, γ = 89.94°
Fractional coordinates of all 4 atoms:
Tl (0.000, 0.000, 0.000)
Te (0.500, 0.500, 0.000)
P (0.000, 0.500, 0.000)
P (0.500, 0.000, 0.000)

Computed properties:
- ΔE to the lowest computed polymorph (meV/atom) = 404
- space-group type = C2/m (12)
- raw formation energy (kJ per mole of atoms) = 45


Record 9
A PBEsol-optimized structure of Zr4Re2N, computed with SCAN.

a = 8.719 Å, b = 8.719 Å, c = 8.719 Å
α = 60.00°, β = 60.00°, γ = 60.00°
Fractional coordinates of all 28 atoms:
Zr (0.000, 0.000, 0.000)
Zr (0.000, 0.000, 0.500)
Zr (0.000, 0.500, 0.000)
Zr (0.190, 0.190, 0.560)
Zr (0.190, 0.560, 0.190)
Zr (0.190, 0.560, 0.560)
Zr (0.440, 0.440, 0.810)
Zr (0.440, 0.810, 0.440)
Zr (0.440, 0.810, 0.810)
Zr (0.500, 0.000, 0.000)
Zr (0.560, 0.190, 0.190)
Zr (0.560, 0.190, 0.560)
Zr (0.560, 0.560, 0.190)
Zr (0.810, 0.440, 0.440)
Zr (0.810, 0.440, 0.810)
Zr (0.810, 0.810, 0.440)
Re (0.125, 0.792, 0.792)
Re (0.208, 0.208, 0.208)
Re (0.208, 0.208, 0.875)
Re (0.208, 0.875, 0.208)
Re (0.792, 0.125, 0.792)
Re (0.792, 0.792, 0.125)
Re (0.792, 0.792, 0.792)
Re (0.875, 0.208, 0.208)
N (0.000, 0.500, 0.500)
N (0.500, 0.000, 0.500)
N (0.500, 0.500, 0.000)
N (0.500, 0.500, 0.500)

Computed properties:
- space-group type = Fd-3m (227)
- raw formation energy (kJ per mole of atoms) = -76


Record 10
A PBEsol-optimized structure of KLi3Br, computed with SCAN.

a = 5.396 Å, b = 5.396 Å, c = 5.396 Å
α = 90.00°, β = 90.00°, γ = 90.00°
Fractional coordinates of all 5 atoms:
K (0.000, 0.000, 0.000)
Li (0.000, 0.500, 0.500)
Li (0.500, 0.000, 0.500)
Li (0.500, 0.500, 0.000)
Br (0.500, 0.500, 0.500)

Computed properties:
- space-group type = Pm-3m (221)
- raw formation energy (kJ per mole of atoms) = -33


Record 11
A PBEsol-optimized structure of KCSeBr2, computed with SCAN.

a = 5.380 Å, b = 5.380 Å, c = 4.048 Å
α = 90.00°, β = 90.00°, γ = 90.00°
Fractional coordinates of all 5 atoms:
K (0.000, 0.000, 0.000)
C (0.500, 0.500, 0.500)
Se (0.500, 0.500, 0.000)
Br (0.000, 0.500, 0.500)
Br (0.500, 0.000, 0.500)

Computed properties:
- space-group type = P4/mmm (123)
- raw formation energy (kJ per mole of atoms) = 26


Record 12
A PBEsol-optimized structure of ZrHgBPd2, computed with SCAN.

a = 4.254 Å, b = 4.254 Å, c = 4.401 Å
α = 90.00°, β = 90.00°, γ = 90.00°
Fractional coordinates of all 5 atoms:
Zr (0.000, 0.000, 0.000)
Hg (0.500, 0.500, 0.000)
B (0.500, 0.500, 0.500)
Pd (0.000, 0.500, 0.500)
Pd (0.500, 0.000, 0.500)

Computed properties:
- energy relative to the elements (eV/atom) = -0.04
- space-group type = P4/mmm (123)


Computed M_tot, in the same sequence as the records: 1.7, 0.0, 0.0, 0.5, 0.0, 0.0, 1.2, 0.0, 0.0, 0.5, 0.0, 0.0 μB/f.u..